A plane-wave DFT calculation with PBEsol was carried out for SbPb3 after structural relaxation.

Geometry as POSCAR:
```
SbPb3
1.0
-5.017 -1.506 3.043
3.603 -4.249 3.837
2.977 12.578 11.132
Sb Pb
6 18
direct
0.354 0.500 0.668
0.029 0.000 0.500
0.646 0.000 0.832
0.354 0.500 0.332
0.646 0.000 0.168
0.971 0.500 0.000
0.146 0.249 0.166
0.146 0.249 0.834
0.517 0.749 0.500
0.973 0.000 0.000
0.854 0.749 0.666
0.854 0.749 0.334
0.647 0.500 0.170
0.146 0.751 0.166
0.483 0.249 0.000
0.483 0.751 0.000
0.854 0.251 0.666
0.146 0.751 0.834
0.517 0.251 0.500
0.647 0.500 0.830
0.353 0.000 0.330
0.353 0.000 0.670
0.854 0.251 0.334
0.027 0.500 0.500
```

Summary:
magnetic moment	0.001	μB/cell
formation energy without anion corrections	0.2	eV per formula unit


A plane-wave DFT calculation with PBEsol was carried out for Nb2Al2Bi after structural relaxation.

Geometry as POSCAR:
```
Nb2Al2Bi
1.0
-0.287 0.959 3.535
-2.168 -2.903 0.611
6.987 -3.005 -0.528
Al Bi Nb
2 1 2
direct
0.750 0.250 0.500
0.250 0.750 0.500
0.000 0.000 0.000
0.602 0.602 0.203
0.398 0.398 0.797
```

Summary:
magnetic moment	0.000	μB/cell
formation enthalpy at 0 K	13.9	kJ/mol of atoms


A plane-wave DFT calculation with PBEsol was carried out for Re2Cl after structural relaxation.

Geometry as POSCAR:
```
Re2Cl
1.0
2.860 0.000 0.000
0.000 4.146 0.000
0.000 -2.073 3.591
Re Cl
2 1
direct
0.248 0.667 0.333
0.752 0.333 0.667
0.000 0.000 0.000
```

Summary:
magnetic moment	0.000	μB/cell
excess energy over the best structure of this formula in the dataset	0.644	eV/atom
formation energy without anion corrections	2.4	eV per formula unit


A plane-wave DFT calculation with PBEsol was carried out for As2RhPbSe after structural relaxation.

Geometry as POSCAR:
```
As2RhPbSe
1.0
5.198 0.000 0.000
0.000 5.198 0.000
0.000 0.000 5.237
Se As Rh Pb
1 2 1 1
direct
0.000 0.000 0.500
0.000 0.500 0.000
0.500 0.000 0.000
0.500 0.500 0.500
0.000 0.000 0.000
```

Summary:
magnetic moment	0.638	μB/cell
formation energy without anion corrections	8.2	eV per formula unit


A plane-wave DFT calculation with PBEsol was carried out for NiP2BrO after structural relaxation.

Geometry as POSCAR:
```
NiP2BrO
1.0
-1.395 -2.601 1.955
3.714 0.028 2.687
-1.990 3.110 2.718
O P Ni Br
1 2 1 1
direct
0.500 0.000 0.000
0.000 0.000 0.500
0.000 0.500 0.000
0.000 0.000 0.000
0.500 0.500 0.500
```

Summary:
magnetic moment	0.744	μB/cell
formation energy without anion corrections	1.7	eV per formula unit


A plane-wave DFT calculation with PBEsol was carried out for Nb2BF after structural relaxation.

Geometry as POSCAR:
```
Nb2BF
1.0
-1.003 -4.224 2.341
-1.161 -2.110 -4.305
5.851 1.716 0.407
B Nb F
2 4 2
direct
0.500 0.500 0.000
0.750 0.250 0.500
0.625 0.599 0.750
0.401 0.875 0.250
0.849 0.375 0.250
0.125 0.151 0.750
0.250 0.750 0.500
0.000 0.000 0.000
```

Summary:
magnetic moment	0.001	μB/cell
formation energy without anion corrections	-0.3	eV per formula unit


A plane-wave DFT calculation with PBEsol was carried out for KCu2Sb after structural relaxation.

Geometry as POSCAR:
```
KCu2Sb
1.0
4.343 0.000 0.000
0.000 4.634 -0.073
0.000 -1.082 5.331
Sb Cu K
1 2 1
direct
0.500 0.219 0.918
0.000 0.991 0.019
0.500 0.754 0.068
0.000 0.536 0.496
```

Summary:
magnetic moment	0.000	μB/cell
formation energy without anion corrections	0.4	eV per formula unit


A plane-wave DFT calculation with PBEsol was carried out for CaAl2Cl8 after structural relaxation.

Geometry as POSCAR:
```
CaAl2Cl8
1.0
-10.187 -5.003 -0.762
9.516 -7.111 4.366
0.154 -2.018 11.193
Al Cl Ca
8 32 4
direct
0.625 0.750 0.147
0.103 0.250 0.625
0.125 0.750 0.103
0.647 0.250 0.125
0.625 0.750 0.647
0.125 0.750 0.603
0.147 0.250 0.125
0.603 0.250 0.625
0.449 0.072 0.244
0.744 0.241 0.971
0.997 0.241 0.471
0.506 0.572 0.127
0.253 0.259 0.962
0.779 0.741 0.253
0.006 0.572 0.801
0.962 0.741 0.006
0.684 0.928 0.449
0.971 0.759 0.497
0.244 0.928 0.623
0.497 0.241 0.788
0.006 0.259 0.779
0.623 0.072 0.684
0.244 0.241 0.288
0.123 0.072 0.744
0.627 0.428 0.006
0.301 0.428 0.506
0.279 0.741 0.506
0.949 0.072 0.184
0.462 0.741 0.753
0.127 0.428 0.066
0.066 0.572 0.301
0.288 0.759 0.997
0.788 0.759 0.744
0.506 0.259 0.462
0.184 0.928 0.123
0.566 0.572 0.627
0.753 0.259 0.279
0.744 0.928 0.949
0.471 0.759 0.244
0.801 0.428 0.566
0.000 0.000 0.000
0.500 0.000 0.500
0.750 0.500 0.750
0.250 0.500 0.250
```

Summary:
magnetic moment	0.000	μB/cell
formation energy without anion corrections	-19.3	eV per formula unit


A plane-wave DFT calculation with PBEsol was carried out for Cs3GaF6 after structural relaxation.

Geometry as POSCAR:
```
Cs3GaF6
1.0
6.596 0.000 0.000
3.298 5.712 0.000
3.298 1.904 5.386
F Cs Ga
6 3 1
direct
0.795 0.205 0.795
0.795 0.795 0.205
0.205 0.795 0.795
0.795 0.205 0.205
0.205 0.795 0.205
0.205 0.205 0.795
0.500 0.500 0.500
0.750 0.750 0.750
0.250 0.250 0.250
0.000 0.000 0.000
```

Summary:
magnetic moment	0.002	μB/cell
formation energy without anion corrections	-28.1	eV per formula unit


A plane-wave DFT calculation with PBEsol was carried out for TbSmRh2 after structural relaxation.

Geometry as POSCAR:
```
TbSmRh2
1.0
-2.400 3.199 -2.704
-4.079 -1.302 -2.229
-4.240 1.741 1.514
Sm Tb Rh
1 1 2
direct
0.000 0.000 0.000
0.500 0.500 0.500
0.250 0.250 0.250
0.750 0.750 0.750
```

Summary:
magnetic moment	0.000	μB/cell
formation enthalpy at 0 K	-69.9	kJ/mol of atoms


A plane-wave DFT calculation with PBEsol was carried out for SrSiGe3 after structural relaxation.

Geometry as POSCAR:
```
SrSiGe3
1.0
5.401 0.000 0.000
0.000 5.401 0.000
0.000 0.000 5.401
Ge Sr Si
3 1 1
direct
0.000 0.500 0.000
0.500 0.000 0.000
0.000 0.000 0.500
0.000 0.000 0.000
0.500 0.500 0.500
```

Summary:
magnetic moment	0.000	μB/cell
formation energy without anion corrections	7.9	eV per formula unit


A plane-wave DFT calculation with PBEsol was carried out for NbPO2 after structural relaxation.

Geometry as POSCAR:
```
NbPO2
1.0
-5.185 2.615 -1.827
-1.506 -0.020 -5.898
-4.625 -3.446 -1.949
O Nb P
4 2 2
direct
0.125 0.625 0.625
0.625 0.625 0.125
0.625 0.625 0.625
0.625 0.125 0.625
0.750 0.750 0.750
0.500 0.500 0.500
0.000 0.000 0.000
0.250 0.250 0.250
```

Summary:
magnetic moment	0.003	μB/cell
formation energy without anion corrections	-3.3	eV per formula unit


A plane-wave DFT calculation with PBEsol was carried out for MgSeSCl2 after structural relaxation.

Geometry as POSCAR:
```
MgSeSCl2
1.0
4.561 0.000 0.000
0.000 4.561 0.000
0.000 0.000 5.306
Mg Se Cl S
1 1 2 1
direct
0.000 0.000 0.000
0.500 0.500 0.500
0.500 0.000 0.000
0.000 0.500 0.000
0.000 0.000 0.500
```

Summary:
magnetic moment	1.064	μB/cell
formation energy without anion corrections	-1.4	eV per formula unit


A plane-wave DFT calculation with PBEsol was carried out for MgCr4S8 after structural relaxation.

Geometry as POSCAR:
```
MgCr4S8
1.0
6.837 0.000 0.000
3.419 5.921 0.000
3.419 1.974 5.594
S Cr Mg
8 4 1
direct
0.731 0.258 0.753
0.742 0.742 0.247
0.258 0.731 0.753
0.743 0.743 0.771
0.269 0.742 0.247
0.257 0.257 0.229
0.258 0.258 0.753
0.742 0.269 0.247
0.500 0.000 0.000
0.000 0.500 0.000
0.500 0.500 0.000
0.500 0.500 0.500
0.000 0.000 0.000
```

Summary:
magnetic moment	9.997	μB/cell
formation energy without anion corrections	-9.2	eV per formula unit


A plane-wave DFT calculation with PBEsol was carried out for In2AgSb after structural relaxation.

Geometry as POSCAR:
```
In2AgSb
1.0
-2.127 1.900 -2.025
-3.236 -0.713 2.731
2.671 4.241 4.272
Ag In Sb
1 2 1
direct
0.465 0.500 0.805
0.037 0.000 0.948
0.691 0.500 0.259
0.307 0.000 0.489
```

Summary:
magnetic moment	0.000	μB/cell
formation energy without anion corrections	0.2	eV per formula unit


A plane-wave DFT calculation with PBEsol was carried out for WOF4 after structural relaxation.

Geometry as POSCAR:
```
WOF4
1.0
5.270 -0.026 -0.038
-0.303 8.526 0.012
-0.303 -3.209 7.899
W F O
4 16 4
direct
0.768 0.241 0.241
0.232 0.759 0.759
0.000 0.189 0.811
0.000 0.811 0.189
0.882 0.398 0.834
0.118 0.166 0.602
0.313 0.294 0.912
0.450 0.141 0.141
0.687 0.088 0.706
0.550 0.859 0.859
0.349 0.549 0.735
0.921 0.655 0.655
0.651 0.451 0.265
0.687 0.706 0.088
0.349 0.735 0.549
0.079 0.345 0.345
0.313 0.912 0.294
0.882 0.834 0.398
0.118 0.602 0.166
0.651 0.265 0.451
0.117 0.785 0.974
0.883 0.215 0.026
0.117 0.974 0.785
0.883 0.026 0.215
```

Summary:
magnetic moment	0.001	μB/cell
excess energy over the best structure of this formula in the dataset	0.023	eV/atom
formation energy without anion corrections	-15.3	eV per formula unit


A plane-wave DFT calculation with PBEsol was carried out for Ni2PbO after structural relaxation.

Geometry as POSCAR:
```
Ni2PbO
1.0
-1.878 1.307 3.479
1.621 -0.939 3.719
1.755 2.981 2.319
Ni O Pb
2 1 1
direct
0.750 0.750 0.750
0.250 0.250 0.250
0.000 0.000 0.000
0.500 0.500 0.500
```

Summary:
magnetic moment	0.001	μB/cell
formation energy without anion corrections	1.3	eV per formula unit


A plane-wave DFT calculation with PBEsol was carried out for Re2Cl after structural relaxation.

Geometry as POSCAR:
```
Re2Cl
1.0
2.889 0.000 0.000
0.000 4.222 0.000
-1.444 0.000 8.554
Cl Re
2 4
direct
0.821 0.750 0.643
0.179 0.250 0.357
0.911 0.250 0.822
0.458 0.750 0.917
0.089 0.750 0.178
0.542 0.250 0.083
```

Summary:
magnetic moment	0.000	μB/cell
excess energy over the best structure of this formula in the dataset	0.000	eV/atom
formation energy without anion corrections	0.5	eV per formula unit


A plane-wave DFT calculation with PBEsol was carried out for LaPRu2 after structural relaxation.

Geometry as POSCAR:
```
LaPRu2
1.0
-2.206 -1.000 -1.737
-0.550 -3.990 3.116
-1.505 4.741 1.678
La Ru P
1 2 1
direct
0.000 0.000 0.000
0.000 0.000 0.500
0.500 0.500 0.500
0.500 0.500 0.000
```

Summary:
magnetic moment	0.000	μB/cell
formation enthalpy at 0 K	8.4	kJ/mol of atoms


A plane-wave DFT calculation with PBEsol was carried out for YZn4 after structural relaxation.

Geometry as POSCAR:
```
YZn4
1.0
4.148 0.000 0.000
0.000 5.501 -0.046
-2.074 -1.385 7.537
Y Zn
2 8
direct
0.716 0.727 0.432
0.284 0.273 0.568
0.904 0.081 0.808
0.096 0.919 0.192
0.516 0.737 0.032
0.358 0.813 0.716
0.484 0.263 0.968
0.642 0.187 0.284
0.912 0.573 0.825
0.088 0.427 0.175
```

Summary:
magnetic moment	0.000	μB/cell
formation enthalpy at 0 K	-25.0	kJ/mol of atoms